Record 1
# LiCeGeRh PBE relaxed
# - Formation energy: -0.61 eV per atom
# - Calculated volume: 280 Å³ per cell
data_LiCeGeRh
_symmetry_space_group_name_H-M 'F -4 3 m'
_symmetry_Int_Tables_number 216
_symmetry_space_group_name_Hall 'F -4 2 3'
_cell_length_a 6.540
_cell_length_b 6.540
_cell_length_c 6.540
_cell_angle_alpha 90.00
_cell_angle_beta 90.00
_cell_angle_gamma 90.00
loop_
_atom_site_label
_atom_site_type_symbol
_atom_site_fract_x
_atom_site_fract_y
_atom_site_fract_z
_atom_site_occupancy
Li1 Li 0.000 0.000 0.000 1
Ce1 Ce 0.250 0.250 0.250 1
Ge1 Ge 0.250 0.250 0.750 1
Rh1 Rh 0.000 0.000 0.500 1

***

Record 2
# LiCe2Ge6Rh PBE relaxed
# - Formation energy: -0.47 eV per atom
# - Calculated volume: 1203 Å³ per cell
data_LiCe2Ge6Rh
_symmetry_space_group_name_H-M 'R -3 m'
_symmetry_Int_Tables_number 166
_symmetry_space_group_name_Hall '-R 3 2"'
_cell_length_a 6.2547
_cell_length_b 6.2547
_cell_length_c 35.5082
_cell_angle_alpha 90.00
_cell_angle_beta 90.00
_cell_angle_gamma 120.00
loop_
_atom_site_label
_atom_site_type_symbol
_atom_site_fract_x
_atom_site_fract_y
_atom_site_fract_z
_atom_site_occupancy
Li1 Li 0.0000 0.0000 0.0000 1
Li2 Li 0.0000 0.0000 0.5000 1
Ce1 Ce 0.0000 0.0000 0.1167 1
Ce2 Ce 0.0000 0.0000 0.2963 1
Ge1 Ge 0.0436 0.5218 0.2913 1
Ge2 Ge 0.0669 0.5334 0.8709 1
Rh1 Rh 0.0000 0.0000 0.4311 1

***

Record 3
# LiCeGeRu PBE relaxed
# - Formation energy: -0.37 eV per atom
# - Calculated volume: 276 Å³ per cell
data_LiCeGeRu
_symmetry_space_group_name_H-M 'F -4 3 m'
_symmetry_Int_Tables_number 216
_symmetry_space_group_name_Hall 'F -4 2 3'
_cell_length_a 6.514
_cell_length_b 6.514
_cell_length_c 6.514
_cell_angle_alpha 90.00
_cell_angle_beta 90.00
_cell_angle_gamma 90.00
loop_
_atom_site_label
_atom_site_type_symbol
_atom_site_fract_x
_atom_site_fract_y
_atom_site_fract_z
_atom_site_occupancy
Li1 Li 0.000 0.000 0.000 1
Ce1 Ce 0.250 0.250 0.750 1
Ge1 Ge 0.250 0.250 0.250 1
Ru1 Ru 0.000 0.000 0.500 1

***

Table of calculated total energy (eV per atom), in record order: -5.5617; -5.3575; -5.8034
Table of Fermi-level density of states (states/eV per cell), in record order: 9.60; 62.17; 22.06